Entry 1:
Density functional theory data (PBE) for a relaxed structure of KSnHg.

Summary:
E above lowest polymorph ... 410 meV per atom
Electronic total energy ... -0.0522 hartree per atom
Symmetry ... F-43m, No. 216

Unit cell a=5.501 b=5.501 c=5.501 alpha=60.00 beta=60.00 gamma=60.00
Positions (direct):
K 0.000 0.000 0.000
Sn 0.250 0.250 0.250
Hg 0.750 0.750 0.750

Entry 2:
Density functional theory data (PBE) for a relaxed structure of KSrHg.

Summary:
E above lowest polymorph ... 0 meV per atom
Electronic total energy ... -0.0430 hartree per atom
Symmetry ... F-43m, No. 216

Unit cell a=5.791 b=5.791 c=5.791 alpha=60.00 beta=60.00 gamma=60.00
Positions (direct):
K 0.000 0.000 0.000
Sr 0.500 0.500 0.500
Hg 0.250 0.250 0.250

Entry 3:
Density functional theory data (PBE) for a relaxed structure of KTbHg.

Summary:
Electronic total energy ... -0.0466 hartree per atom
Symmetry ... F-43m, No. 216

Unit cell a=5.275 b=5.275 c=5.275 alpha=60.00 beta=60.00 gamma=60.00
Positions (direct):
K 0.000 0.000 0.000
Tb 0.250 0.250 0.250
Hg 0.750 0.750 0.750

Entry 4:
Density functional theory data (PBE) for a relaxed structure of KTbHg3Te4.

Summary:
E above lowest polymorph ... 0 meV per atom
Electronic total energy ... -0.0973 hartree per atom
Symmetry ... P-43m, No. 215

Unit cell a=7.362 b=7.362 c=7.362 alpha=90.00 beta=90.00 gamma=90.00
Positions (direct):
K 0.000 0.000 0.000
Tb 0.500 0.500 0.500
Hg 0.000 0.500 0.500
Hg 0.500 0.000 0.500
Hg 0.500 0.500 0.000
Te 0.271 0.271 0.271
Te 0.271 0.729 0.729
Te 0.729 0.271 0.729
Te 0.729 0.729 0.271

Entry 5:
Density functional theory data (PBE) for a relaxed structure of KTbHg3Te4.

Summary:
E above lowest polymorph ... 5 meV per atom
Electronic total energy ... -0.0971 hartree per atom
Symmetry ... P2_1/m, No. 11

Unit cell a=6.771 b=8.544 c=12.428 alpha=90.00 beta=103.37 gamma=90.00
Positions (direct):
K 0.118 0.250 0.333
K 0.882 0.750 0.667
Tb 0.234 0.250 0.801
Tb 0.766 0.750 0.199
Hg 0.331 0.008 0.052
Hg 0.331 0.492 0.052
Hg 0.398 0.750 0.339
Hg 0.602 0.250 0.661
Hg 0.669 0.508 0.948
Hg 0.669 0.992 0.948
Te 0.003 0.750 0.010
Te 0.055 0.750 0.415
Te 0.430 0.528 0.718
Te 0.430 0.972 0.718
Te 0.570 0.028 0.282
Te 0.570 0.472 0.282
Te 0.945 0.250 0.585
Te 0.997 0.250 0.990

Entry 6:
Density functional theory data (PBE) for a relaxed structure of KHg2Te2.

Summary:
Electronic total energy ... -0.0708 hartree per atom
Symmetry ... I4/mmm, No. 139

Unit cell a=7.923 b=7.923 c=7.923 alpha=142.54 beta=142.54 gamma=54.01
Positions (direct):
K 0.000 0.000 0.000
Hg 0.250 0.750 0.500
Hg 0.750 0.250 0.500
Te 0.367 0.367 0.000
Te 0.633 0.633 0.000

Entry 7:
Density functional theory data (PBE) for a relaxed structure of K2Hg2Te.

Summary:
Electronic total energy ... -0.0480 hartree per atom
Symmetry ... Fddd, No. 70

Unit cell a=11.147 b=8.631 c=8.595 alpha=80.64 beta=49.82 gamma=49.54
Positions (direct):
K 0.049 0.049 0.701
K 0.299 0.299 0.951
K 0.701 0.701 0.049
K 0.951 0.951 0.299
Hg 0.000 0.500 0.500
Hg 0.500 0.000 0.500
Hg 0.500 0.500 0.000
Hg 0.500 0.500 0.500
Te 0.375 0.375 0.375
Te 0.625 0.625 0.625

Entry 8:
Density functional theory data (PBE) for a relaxed structure of KTmHgTe3.

Summary:
Electronic total energy ... -0.1252 hartree per atom
Symmetry ... C2/m, No. 12

Unit cell a=10.381 b=10.381 c=9.727 alpha=101.49 beta=101.49 gamma=24.41
Positions (direct):
K 0.141 0.141 0.067
K 0.859 0.859 0.933
Tm 0.177 0.177 0.577
Tm 0.823 0.823 0.423
Hg 0.471 0.471 0.279
Hg 0.529 0.529 0.721
Te 0.000 0.000 0.500
Te 0.325 0.325 0.207
Te 0.328 0.328 0.639
Te 0.500 0.500 0.000
Te 0.672 0.672 0.361
Te 0.675 0.675 0.793

Entry 9:
Density functional theory data (PBE) for a relaxed structure of KTmHgTe3.

Summary:
Electronic total energy ... -0.1277 hartree per atom
Symmetry ... P2_1/m, No. 11

Unit cell a=9.113 b=4.469 c=11.106 alpha=90.00 beta=108.27 gamma=90.00
Positions (direct):
K 0.237 0.250 0.276
K 0.763 0.750 0.724
Tm 0.323 0.750 0.862
Tm 0.677 0.250 0.138
Hg 0.082 0.250 0.614
Hg 0.918 0.750 0.386
Te 0.088 0.250 0.868
Te 0.254 0.750 0.557
Te 0.451 0.750 0.147
Te 0.549 0.250 0.853
Te 0.746 0.250 0.443
Te 0.912 0.750 0.132

Entry 10:
Density functional theory data (PBE) for a relaxed structure of KYHgTe3.

Summary:
Electronic total energy ... -0.1410 hartree per atom
Symmetry ... P2_1/m, No. 11

Unit cell a=9.260 b=4.506 c=10.990 alpha=90.00 beta=107.65 gamma=90.00
Positions (direct):
K 0.229 0.250 0.266
K 0.771 0.750 0.734
Y 0.323 0.750 0.862
Y 0.677 0.250 0.138
Hg 0.085 0.250 0.615
Hg 0.915 0.750 0.385
Te 0.088 0.250 0.871
Te 0.248 0.750 0.551
Te 0.454 0.750 0.152
Te 0.546 0.250 0.848
Te 0.752 0.250 0.449
Te 0.912 0.750 0.129

Entry 11:
Density functional theory data (PBE) for a relaxed structure of KYHgTe3.

Summary:
Electronic total energy ... -0.1384 hartree per atom
Symmetry ... C2/m, No. 12

Unit cell a=10.474 b=10.474 c=9.671 alpha=101.54 beta=101.54 gamma=24.47
Positions (direct):
K 0.139 0.139 0.068
K 0.861 0.861 0.932
Y 0.175 0.175 0.576
Y 0.825 0.825 0.424
Hg 0.468 0.468 0.279
Hg 0.532 0.532 0.721
Te 0.000 0.000 0.500
Te 0.324 0.324 0.202
Te 0.327 0.327 0.642
Te 0.500 0.500 0.000
Te 0.673 0.673 0.358
Te 0.676 0.676 0.798

Entry 12:
Density functional theory data (PBE) for a relaxed structure of K2Tl6Hg.

Summary:
Electronic total energy ... -0.0713 hartree per atom
Symmetry ... P-3m1, No. 164

Unit cell a=7.153 b=7.153 c=7.053 alpha=90.00 beta=90.00 gamma=120.00
Positions (direct):
K 0.333 0.667 0.147
K 0.667 0.333 0.853
Tl 0.176 0.352 0.668
Tl 0.176 0.824 0.668
Tl 0.352 0.176 0.332
Tl 0.648 0.824 0.668
Tl 0.824 0.176 0.332
Tl 0.824 0.648 0.332
Hg 0.000 0.000 0.000